# 1
Compound: LiMnOF2
Source: Alexandria via LeMat-Bulk
Functional: GGA+U
Structure: optimized geometry

abc: 3.5595 3.5595 3.9517
angles: 90.00 90.00 90.00
Each line ends with the local moment (μB).
Fractional coordinates of all 5 atoms:
1 Mn 0.5000 0.5000 0.5000  4.68
2 Li 0.0000 0.0000 0.0000  -0.01
3 O 0.0000 0.0000 0.5000  -0.64
4 F 0.0000 0.5000 0.0000  -0.05
5 F 0.5000 0.0000 0.0000  -0.05

## Properties
* E above lowest polymorph: 683 meV/atom
* SG: P4/mmm, No. 123

# 2
Compound: LiMn7O9F3
Source: Alexandria via LeMat-Bulk
Functional: GGA+U
Structure: optimized geometry

abc: 6.0737 6.0737 6.0737
angles: 91.47 91.47 91.47
Each line ends with the local moment (μB).
Fractional coordinates of all 20 atoms:
1 Li 0.5317 0.5317 0.5317  0.01
2 Mn 0.7572 0.0789 0.5505  4.09
3 Mn 0.9419 0.4223 0.2441  4.38
4 Mn 0.4223 0.2441 0.9419  4.38
5 Mn 0.9844 0.9844 0.9844  3.59
6 Mn 0.5505 0.7572 0.0789  4.09
7 Mn 0.0789 0.5505 0.7572  4.09
8 Mn 0.2441 0.9419 0.4223  4.38
9 O 0.9597 0.0890 0.2991  -0.17
10 O 0.6908 0.0509 0.8756  -0.07
11 O 0.8456 0.4030 0.5749  -0.12
12 O 0.8756 0.6908 0.0509  -0.07
13 O 0.4030 0.5749 0.8456  -0.12
14 O 0.0890 0.2991 0.9597  -0.17
15 O 0.5749 0.8456 0.4030  -0.12
16 O 0.2991 0.9597 0.0890  -0.17
17 O 0.0509 0.8756 0.6908  -0.07
18 F 0.3995 0.2157 0.5850  0.07
19 F 0.5850 0.3995 0.2157  0.07
20 F 0.2157 0.5850 0.3995  0.07

## Properties
* SG: R3, No. 146

| no. | final energy (eV/atom) | DOS(E_F) (states/eV per atom) | magnetic moment (μB per cell) |
| --- | --- | --- | --- |
| 1 | -5.299 | 0.39 | 4.00 |
| 2 | -7.031 | 0.06 | 29.00 |